No. 1
# Al2MoRh | the Alexandria database | GGA-PBE | optimized geometry
data_Al2MoRh
_space_group_name_H-M_alt 'C 1 2/m 1'
_space_group_IT_number 12
_cell_length_a 5.6455
_cell_length_b 8.1946
_cell_length_c 2.7525
_cell_angle_alpha 90.00
_cell_angle_beta 111.07
_cell_angle_gamma 90.00
loop_
_space_group_symop_operation_xyz
'x,y,z'
'-x,-y,-z'
'-x,y,-z'
'x,-y,z'
'x+1/2,y+1/2,z'
'-x+1/2,-y+1/2,-z'
'-x+1/2,y+1/2,-z'
'x+1/2,-y+1/2,z'
loop_
_atom_site_label
_atom_site_fract_x
_atom_site_fract_y
_atom_site_fract_z
Al1 0.2500 0.2500 0.0000
Mo1 0.0000 0.0000 0.5000
Rh1 0.0000 0.5000 0.5000
# - ΔE to the lowest computed polymorph (meV/atom) = 206
# - E_form (eV per atom) = -0.351

***

No. 2
# Al2MoRh | the Alexandria database | GGA-PBE | optimized geometry
data_Al2MoRh
_space_group_name_H-M_alt 'I -4 m 2'
_space_group_IT_number 119
_space_group_name_Hall 'I -4 -2'
_cell_length_a 3.7076
_cell_length_b 3.7076
_cell_length_c 8.6100
_cell_angle_alpha 90.00
_cell_angle_beta 90.00
_cell_angle_gamma 90.00
loop_
_atom_site_label
_atom_site_fract_x
_atom_site_fract_y
_atom_site_fract_z
Al1 0.0000 0.0000 0.0000
Al2 0.0000 0.5000 0.2500
Mo1 0.0000 0.5000 0.7500
Rh1 0.0000 0.0000 0.5000
# - ΔE to the lowest computed polymorph (meV/atom) = 214
# - E_form (eV per atom) = -0.343

***

No. 3
# Al4MoRh | the Alexandria database | GGA-PBE | optimized geometry
data_Al4MoRh
_space_group_name_H-M_alt 'F -4 3 m'
_space_group_IT_number 216
_space_group_name_Hall 'F -4 2 3'
_cell_length_a 7.0887
_cell_length_b 7.0887
_cell_length_c 7.0887
_cell_angle_alpha 90.00
_cell_angle_beta 90.00
_cell_angle_gamma 90.00
loop_
_atom_site_label
_atom_site_fract_x
_atom_site_fract_y
_atom_site_fract_z
Al1 0.1251 0.1251 0.1251
Mo1 0.2500 0.2500 0.7500
Rh1 0.0000 0.0000 0.5000
# - E_form (eV per atom) = -0.048

***

No. 4
# Al2MoRh | the Alexandria database | GGA-PBE | optimized geometry
data_Al2MoRh
_space_group_name_H-M_alt 'F -4 3 m'
_space_group_IT_number 216
_space_group_name_Hall 'F -4 2 3'
_cell_length_a 6.2089
_cell_length_b 6.2089
_cell_length_c 6.2089
_cell_angle_alpha 90.00
_cell_angle_beta 90.00
_cell_angle_gamma 90.00
loop_
_atom_site_label
_atom_site_fract_x
_atom_site_fract_y
_atom_site_fract_z
Al1 0.0000 0.0000 0.0000
Al2 0.2500 0.2500 0.2500
Mo1 0.2500 0.2500 0.7500
Rh1 0.0000 0.0000 0.5000
# - ΔE to the lowest computed polymorph (meV/atom) = 387
# - E_form (eV per atom) = -0.170

***

No. 5
# Al2MoRh | the Alexandria database | GGA-PBE | optimized geometry
data_Al2MoRh
_space_group_name_H-M_alt 'P 4 m m'
_space_group_IT_number 99
_cell_length_a 2.7974
_cell_length_b 2.7974
_cell_length_c 7.8114
_cell_angle_alpha 90.00
_cell_angle_beta 90.00
_cell_angle_gamma 90.00
loop_
_space_group_symop_operation_xyz
'x,y,z'
'-y,x,z'
'-x,-y,z'
'y,-x,z'
'-x,y,z'
'y,x,z'
'x,-y,z'
'-y,-x,z'
loop_
_atom_site_label
_atom_site_fract_x
_atom_site_fract_y
_atom_site_fract_z
Al1 0.0000 0.0000 0.0000
Al2 0.5000 0.5000 0.2913
Mo1 0.0000 0.0000 0.5403
Rh1 0.5000 0.5000 0.7849
# - ΔE to the lowest computed polymorph (meV/atom) = 265
# - E_form (eV per atom) = -0.292

***

No. 6
# Al2MoRh | the Alexandria database | GGA-PBE | optimized geometry
data_Al2MoRh
_space_group_name_H-M_alt 'I m m 2'
_space_group_IT_number 44
_cell_length_a 2.9468
_cell_length_b 4.3149
_cell_length_c 9.3112
_cell_angle_alpha 90.00
_cell_angle_beta 90.00
_cell_angle_gamma 90.00
loop_
_space_group_symop_operation_xyz
'x,y,z'
'-x,-y,z'
'-x,y,z'
'x,-y,z'
'x+1/2,y+1/2,z+1/2'
'-x+1/2,-y+1/2,z+1/2'
'-x+1/2,y+1/2,z+1/2'
'x+1/2,-y+1/2,z+1/2'
loop_
_atom_site_label
_atom_site_fract_x
_atom_site_fract_y
_atom_site_fract_z
Al1 0.0000 0.0000 0.0000
Al2 0.0000 0.5000 0.2282
Mo1 0.0000 0.5000 0.7555
Rh1 0.0000 0.0000 0.5018
# - ΔE to the lowest computed polymorph (meV/atom) = 156
# - E_form (eV per atom) = -0.401

***

No. 7
# AlMoRh2 | the Alexandria database | GGA-PBE | optimized geometry
data_AlMoRh2
_space_group_name_H-M_alt 'R -3 m'
_space_group_IT_number 166
_space_group_name_Hall '-R 3 2"'
_cell_length_a 2.8107
_cell_length_b 2.8107
_cell_length_c 25.4539
_cell_angle_alpha 90.00
_cell_angle_beta 90.00
_cell_angle_gamma 120.00
loop_
_atom_site_label
_atom_site_fract_x
_atom_site_fract_y
_atom_site_fract_z
Al1 0.0000 0.0000 0.0000
Mo1 0.0000 0.0000 0.5000
Rh1 0.0000 0.0000 0.2538
# - E_form (eV per atom) = -0.375

***

No. 8
# AlMoRh2 | the Alexandria database | GGA-PBE | optimized geometry
data_AlMoRh2
_space_group_name_H-M_alt 'I -4 m 2'
_space_group_IT_number 119
_space_group_name_Hall 'I -4 -2'
_cell_length_a 3.7828
_cell_length_b 3.7828
_cell_length_c 8.1405
_cell_angle_alpha 90.00
_cell_angle_beta 90.00
_cell_angle_gamma 90.00
loop_
_atom_site_label
_atom_site_fract_x
_atom_site_fract_y
_atom_site_fract_z
Al1 0.0000 0.0000 0.0000
Mo1 0.0000 0.5000 0.7500
Rh1 0.0000 0.0000 0.5000
Rh2 0.0000 0.5000 0.2500
# - E_form (eV per atom) = -0.363

***

No. 9
# AlMoRh | the Alexandria database | GGA-PBE | optimized geometry
data_AlMoRh
_space_group_name_H-M_alt 'I 4 m m'
_space_group_IT_number 107
_space_group_name_Hall 'I 4 -2'
_cell_length_a 2.8795
_cell_length_b 2.8795
_cell_length_c 10.4925
_cell_angle_alpha 90.00
_cell_angle_beta 90.00
_cell_angle_gamma 90.00
loop_
_atom_site_label
_atom_site_fract_x
_atom_site_fract_y
_atom_site_fract_z
Al1 0.0000 0.0000 0.0000
Mo1 0.0000 0.0000 0.3242
Rh1 0.0000 0.0000 0.6495
# - E_form (eV per atom) = -0.489

***

No. 10
# Al2MoRh | the Alexandria database | GGA-PBE | optimized geometry
data_Al2MoRh
_space_group_name_H-M_alt 'A m m 2'
_space_group_IT_number 38
_cell_length_a 4.3315
_cell_length_b 2.8435
_cell_length_c 9.6046
_cell_angle_alpha 90.00
_cell_angle_beta 90.00
_cell_angle_gamma 90.00
loop_
_space_group_symop_operation_xyz
'x,y,z'
'-x,-y,z'
'-x,y,z'
'x,-y,z'
'x,y+1/2,z+1/2'
'-x,-y+1/2,z+1/2'
'-x,y+1/2,z+1/2'
'x,-y+1/2,z+1/2'
loop_
_atom_site_label
_atom_site_fract_x
_atom_site_fract_y
_atom_site_fract_z
Al1 0.0000 0.0000 0.0000
Al2 0.5000 0.0000 0.1732
Mo1 0.0000 0.0000 0.7367
Rh1 0.5000 0.0000 0.4399
# - ΔE to the lowest computed polymorph (meV/atom) = 170
# - E_form (eV per atom) = -0.388

***

No. 11
# AlMoRh | the Alexandria database | GGA-PBE | optimized geometry
data_AlMoRh
_space_group_name_H-M_alt 'P 3 m 1'
_space_group_IT_number 156
_cell_length_a 2.8185
_cell_length_b 2.8185
_cell_length_c 6.5115
_cell_angle_alpha 90.00
_cell_angle_beta 90.00
_cell_angle_gamma 120.00
loop_
_space_group_symop_operation_xyz
'x,y,z'
'-y,x-y,z'
'-x+y,-x,z'
'-y,-x,z'
'-x+y,y,z'
'x,x-y,z'
loop_
_atom_site_label
_atom_site_fract_x
_atom_site_fract_y
_atom_site_fract_z
Al1 0.0000 0.0000 0.0000
Mo1 0.6667 0.3333 0.3481
Rh1 0.3333 0.6667 0.6815
# - E_form (eV per atom) = -0.238

***

No. 12
# TaAlMo2Rh | the Alexandria database | GGA-PBE | optimized geometry
data_TaAlMo2Rh
_space_group_name_H-M_alt 'P 4/m m m'
_space_group_IT_number 123
_space_group_name_Hall '-P 4 2'
_cell_length_a 4.7063
_cell_length_b 4.7063
_cell_length_c 4.7508
_cell_angle_alpha 90.00
_cell_angle_beta 90.00
_cell_angle_gamma 90.00
loop_
_atom_site_label
_atom_site_fract_x
_atom_site_fract_y
_atom_site_fract_z
Ta1 0.0000 0.0000 0.0000
Al1 0.5000 0.5000 0.0000
Mo1 0.0000 0.5000 0.5000
Rh1 0.0000 0.0000 0.5000
# - E_form (eV per atom) = 1.365

***

No. 13
# Al2TeMoRh | the Alexandria database | GGA-PBE | optimized geometry
data_Al2TeMoRh
_space_group_name_H-M_alt 'P 4/m m m'
_space_group_IT_number 123
_space_group_name_Hall '-P 4 2'
_cell_length_a 4.6834
_cell_length_b 4.6834
_cell_length_c 4.9225
_cell_angle_alpha 90.00
_cell_angle_beta 90.00
_cell_angle_gamma 90.00
loop_
_atom_site_label
_atom_site_fract_x
_atom_site_fract_y
_atom_site_fract_z
Al1 0.0000 0.5000 0.0000
Te1 0.0000 0.0000 0.5000
Mo1 0.5000 0.5000 0.5000
Rh1 0.5000 0.5000 0.0000
# - formation energy from raw total energies (eV per atom) = 0.34

***

No. 14
# TiAlMoRh | the Alexandria database | GGA-PBE | optimized geometry
data_TiAlMoRh
_space_group_name_H-M_alt 'F -4 3 m'
_space_group_IT_number 216
_space_group_name_Hall 'F -4 2 3'
_cell_length_a 6.1974
_cell_length_b 6.1974
_cell_length_c 6.1974
_cell_angle_alpha 90.00
_cell_angle_beta 90.00
_cell_angle_gamma 90.00
loop_
_atom_site_label
_atom_site_fract_x
_atom_site_fract_y
_atom_site_fract_z
Ti1 0.0000 0.0000 0.0000
Al1 0.0000 0.0000 0.5000
Mo1 0.2500 0.2500 0.7500
Rh1 0.2500 0.2500 0.2500
# - E_form (eV per atom) = -0.463

***

No. 15
# AlTlMo2Rh | the Alexandria database | GGA-PBE | optimized geometry
data_AlTlMo2Rh
_space_group_name_H-M_alt 'P 4/m m m'
_space_group_IT_number 123
_space_group_name_Hall '-P 4 2'
_cell_length_a 5.0818
_cell_length_b 5.0818
_cell_length_c 4.7329
_cell_angle_alpha 90.00
_cell_angle_beta 90.00
_cell_angle_gamma 90.00
loop_
_atom_site_label
_atom_site_fract_x
_atom_site_fract_y
_atom_site_fract_z
Al1 0.0000 0.0000 0.0000
Tl1 0.0000 0.0000 0.5000
Mo1 0.0000 0.5000 0.5000
Rh1 0.5000 0.5000 0.0000
# - E_form (eV per atom) = 2.364

***

No. 16
# AlMo2RhW | the Alexandria database | GGA-PBE | optimized geometry
data_AlMo2RhW
_space_group_name_H-M_alt 'P 4/m m m'
_space_group_IT_number 123
_space_group_name_Hall '-P 4 2'
_cell_length_a 4.6859
_cell_length_b 4.6859
_cell_length_c 4.7013
_cell_angle_alpha 90.00
_cell_angle_beta 90.00
_cell_angle_gamma 90.00
loop_
_atom_site_label
_atom_site_fract_x
_atom_site_fract_y
_atom_site_fract_z
Al1 0.0000 0.0000 0.0000
Mo1 0.0000 0.5000 0.5000
Rh1 0.5000 0.5000 0.5000
W1 0.5000 0.5000 0.0000
# - E_form (eV per atom) = 1.668

***

No. 17
# AlMo2Ru | the Alexandria database | GGA-PBE | optimized geometry
data_AlMo2Ru
_space_group_name_H-M_alt 'I -4 2 d'
_space_group_IT_number 122
_space_group_name_Hall 'I -4 2bw'
_cell_length_a 7.1887
_cell_length_b 7.1887
_cell_length_c 5.1594
_cell_angle_alpha 90.00
_cell_angle_beta 90.00
_cell_angle_gamma 90.00
loop_
_atom_site_label
_atom_site_fract_x
_atom_site_fract_y
_atom_site_fract_z
Al1 0.0000 0.0000 0.0000
Mo1 0.2231 0.2500 0.6250
Ru1 0.0000 0.0000 0.5000
# - E_form (eV per atom) = 0.503

***

No. 18
# Al2MoRu2 | the Alexandria database | GGA-PBE | optimized geometry
data_Al2MoRu2
_space_group_name_H-M_alt 'C m m m'
_space_group_IT_number 65
_space_group_name_Hall '-C 2 2'
_cell_length_a 2.8779
_cell_length_b 18.0479
_cell_length_c 2.9642
_cell_angle_alpha 90.00
_cell_angle_beta 90.00
_cell_angle_gamma 90.00
loop_
_atom_site_label
_atom_site_fract_x
_atom_site_fract_y
_atom_site_fract_z
Al1 0.0000 0.1814 0.0000
Mo1 0.0000 0.0000 0.0000
Ru1 0.0000 0.4032 0.5000
# - ΔE to the lowest computed polymorph (meV/atom) = 0
# - E_form (eV per atom) = -0.265

***

No. 19
# AlMo2Ru2 | the Alexandria database | GGA-PBE | optimized geometry
data_AlMo2Ru2
_space_group_name_H-M_alt 'I 4/m m m'
_space_group_IT_number 139
_space_group_name_Hall '-I 4 2'
_cell_length_a 3.9751
_cell_length_b 3.9751
_cell_length_c 11.1242
_cell_angle_alpha 90.00
_cell_angle_beta 90.00
_cell_angle_gamma 90.00
loop_
_atom_site_label
_atom_site_fract_x
_atom_site_fract_y
_atom_site_fract_z
Al1 0.0000 0.0000 0.0000
Mo1 0.0000 0.0000 0.3884
Ru1 0.0000 0.5000 0.2500
# - ΔE to the lowest computed polymorph (meV/atom) = 388
# - E_form (eV per atom) = 0.452

***

No. 20
# AlMo2Ru | the Alexandria database | GGA-PBE | optimized geometry
data_AlMo2Ru
_space_group_name_H-M_alt 'I -4 m 2'
_space_group_IT_number 119
_space_group_name_Hall 'I -4 -2'
_cell_length_a 3.7722
_cell_length_b 3.7722
_cell_length_c 8.4683
_cell_angle_alpha 90.00
_cell_angle_beta 90.00
_cell_angle_gamma 90.00
loop_
_atom_site_label
_atom_site_fract_x
_atom_site_fract_y
_atom_site_fract_z
Al1 0.0000 0.0000 0.0000
Mo1 0.0000 0.0000 0.5000
Mo2 0.0000 0.5000 0.7500
Ru1 0.0000 0.5000 0.2500
# - E_form (eV per atom) = -0.038

***

| no. | density of states at the Fermi level (states/eV/atom) |
| --- | --- |
| 1 | 0.553 |
| 2 | 1.196 |
| 3 | 0.491 |
| 4 | 1.293 |
| 5 | 1.054 |
| 6 | 0.761 |
| 7 | 0.703 |
| 8 | 0.886 |
| 9 | 0.396 |
| 10 | 0.814 |
| 11 | 1.385 |
| 12 | 1.144 |
| 13 | 0.753 |
| 14 | 1.114 |
| 15 | 1.008 |
| 16 | 1.441 |
| 17 | 0.963 |
| 18 | 0.570 |
| 19 | 0.905 |
| 20 | 0.925 |